Record 1
The following is a PBE calculation of crystalline La12Ho3Sc at its relaxed geometry, from Alexandria.

- Formation enthalpy at 0 K: 15 meV per atom

The structure in CIF format:
```
data_La12Ho3Sc
_chemical_formula_sum 'La12 Ho3 Sc1'
_symmetry_space_group_name_H-M 'P 4/m m m'
_symmetry_Int_Tables_number 123
_symmetry_space_group_name_Hall '-P 4 2'
_cell_length_a 5.1751
_cell_length_b 5.1751
_cell_length_c 20.7043
_cell_angle_alpha 90.00
_cell_angle_beta 90.00
_cell_angle_gamma 90.00
loop_
_atom_site_label
_atom_site_fract_x
_atom_site_fract_y
_atom_site_fract_z
La1 0.0000 0.0000 0.0000
La2 0.0000 0.0000 0.2486
La3 0.0000 0.0000 0.5000
La4 0.0000 0.5000 0.1223
La5 0.0000 0.5000 0.3740
Ho1 0.5000 0.5000 0.2479
Ho2 0.5000 0.5000 0.5000
Sc1 0.5000 0.5000 0.0000
```

Record 2
The following is a PBE calculation of crystalline La2Ho8Sc3 at its relaxed geometry, from Alexandria.

- Formation enthalpy at 0 K: 257 meV per atom

The structure in CIF format:
```
data_La2Ho8Sc3
_chemical_formula_sum 'La4 Ho16 Sc6'
_symmetry_space_group_name_H-M 'C 1 2/m 1'
_symmetry_Int_Tables_number 12
_cell_length_a 14.8170
_cell_length_b 8.6217
_cell_length_c 6.5482
_cell_angle_alpha 90.00
_cell_angle_beta 96.85
_cell_angle_gamma 90.00
loop_
_symmetry_equiv_pos_as_xyz
'x,y,z'
'-x,-y,-z'
'-x,y,-z'
'x,-y,z'
'x+1/2,y+1/2,z'
'-x+1/2,-y+1/2,-z'
'-x+1/2,y+1/2,-z'
'x+1/2,-y+1/2,z'
loop_
_atom_site_label
_atom_site_fract_x
_atom_site_fract_y
_atom_site_fract_z
La1 0.2126 0.0000 0.2680
Ho1 0.0863 0.5000 0.8861
Ho2 0.1073 0.3171 0.4179
Ho3 0.1873 0.0000 0.7758
Sc1 0.0000 0.0000 0.5000
Sc2 0.0000 0.1636 0.0000
```

Record 3
The following is a PBE calculation of crystalline LaHo2Sc at its relaxed geometry, from Alexandria.

- Formation enthalpy at 0 K: 39 meV per atom
- Relative energy among the computed polymorphs: 6 meV per atom

The structure in CIF format:
```
data_LaHo2Sc
_chemical_formula_sum 'La2 Ho4 Sc2'
_symmetry_space_group_name_H-M 'I m m 2'
_symmetry_Int_Tables_number 44
_cell_length_a 3.6180
_cell_length_b 11.2495
_cell_length_c 6.0866
_cell_angle_alpha 90.00
_cell_angle_beta 90.00
_cell_angle_gamma 90.00
loop_
_symmetry_equiv_pos_as_xyz
'x,y,z'
'-x,-y,z'
'-x,y,z'
'x,-y,z'
'x+1/2,y+1/2,z+1/2'
'-x+1/2,-y+1/2,z+1/2'
'-x+1/2,y+1/2,z+1/2'
'x+1/2,-y+1/2,z+1/2'
loop_
_atom_site_label
_atom_site_fract_x
_atom_site_fract_y
_atom_site_fract_z
La1 0.0000 0.0000 0.0000
Ho1 0.0000 0.2402 0.3593
Sc1 0.0000 0.5000 0.0114
```

Record 4
The following is a PBE calculation of crystalline La3HoSc at its relaxed geometry, from Alexandria.

- Formation enthalpy at 0 K: 205 meV per atom
- Relative energy among the computed polymorphs: 71 meV per atom

The structure in CIF format:
```
data_La3HoSc
_chemical_formula_sum 'La12 Ho4 Sc4'
_symmetry_space_group_name_H-M 'C m c m'
_symmetry_Int_Tables_number 63
_symmetry_space_group_name_Hall '-C 2c 2'
_cell_length_a 5.7148
_cell_length_b 11.9280
_cell_length_c 10.1093
_cell_angle_alpha 90.00
_cell_angle_beta 90.00
_cell_angle_gamma 90.00
loop_
_atom_site_label
_atom_site_fract_x
_atom_site_fract_y
_atom_site_fract_z
La1 0.0000 0.0000 0.0000
La2 0.0000 0.3045 0.0640
Ho1 0.0000 0.1905 0.7500
Sc1 0.0000 0.4624 0.7500
```

Record 5
The following is a PBE calculation of crystalline LaHo2Sc at its relaxed geometry, from Alexandria.

- Formation enthalpy at 0 K: 57 meV per atom
- Relative energy among the computed polymorphs: 24 meV per atom

The structure in CIF format:
```
data_LaHo2Sc
_chemical_formula_sum 'La1 Ho2 Sc1'
_symmetry_space_group_name_H-M 'P 4/m m m'
_symmetry_Int_Tables_number 123
_symmetry_space_group_name_Hall '-P 4 2'
_cell_length_a 4.9324
_cell_length_b 4.9324
_cell_length_c 5.0590
_cell_angle_alpha 90.00
_cell_angle_beta 90.00
_cell_angle_gamma 90.00
loop_
_atom_site_label
_atom_site_fract_x
_atom_site_fract_y
_atom_site_fract_z
La1 0.0000 0.0000 0.0000
Ho1 0.0000 0.5000 0.5000
Sc1 0.5000 0.5000 0.0000
```

Record 6
The following is a PBE calculation of crystalline La3HoSc2 at its relaxed geometry, from Alexandria.

- Formation enthalpy at 0 K: 244 meV per atom

The structure in CIF format:
```
data_La3HoSc2
_chemical_formula_sum 'La12 Ho4 Sc8'
_symmetry_space_group_name_H-M 'C m c m'
_symmetry_Int_Tables_number 63
_symmetry_space_group_name_Hall '-C 2c 2'
_cell_length_a 14.1796
_cell_length_b 10.4474
_cell_length_c 5.2757
_cell_angle_alpha 90.00
_cell_angle_beta 90.00
_cell_angle_gamma 90.00
loop_
_atom_site_label
_atom_site_fract_x
_atom_site_fract_y
_atom_site_fract_z
La1 0.0000 0.0660 0.2500
La2 0.2227 0.1355 0.2500
Ho1 0.0000 0.2875 0.7500
Sc1 0.1082 0.4191 0.2500
```

Record 7
The following is a PBE calculation of crystalline LaHo3Sc at its relaxed geometry, from Alexandria.

- Formation enthalpy at 0 K: 35 meV per atom
- Relative energy among the computed polymorphs: 0 meV per atom

The structure in CIF format:
```
data_LaHo3Sc
_chemical_formula_sum 'La2 Ho6 Sc2'
_symmetry_space_group_name_H-M 'P -1'
_symmetry_Int_Tables_number 2
_cell_length_a 6.1899
_cell_length_b 6.6595
_cell_length_c 8.3466
_cell_angle_alpha 77.28
_cell_angle_beta 68.38
_cell_angle_gamma 89.83
loop_
_symmetry_equiv_pos_as_xyz
'x,y,z'
'-x,-y,-z'
loop_
_atom_site_label
_atom_site_fract_x
_atom_site_fract_y
_atom_site_fract_z
La1 0.1842 0.4544 0.3010
Ho1 0.0133 0.9576 0.3006
Ho2 0.2206 0.3496 0.8919
Ho3 0.3843 0.8565 0.8938
Sc1 0.4232 0.7579 0.4977
```

Record 8
The following is a PBE calculation of crystalline La8Ho4Sc at its relaxed geometry, from Alexandria.

- Formation enthalpy at 0 K: 155 meV per atom

The structure in CIF format:
```
data_La8Ho4Sc
_chemical_formula_sum 'La24 Ho12 Sc3'
_symmetry_space_group_name_H-M 'R -3 m'
_symmetry_Int_Tables_number 166
_symmetry_space_group_name_Hall '-R 3 2"'
_cell_length_a 7.1987
_cell_length_b 7.1987
_cell_length_c 29.8272
_cell_angle_alpha 90.00
_cell_angle_beta 90.00
_cell_angle_gamma 120.00
loop_
_atom_site_label
_atom_site_fract_x
_atom_site_fract_y
_atom_site_fract_z
La1 0.0000 0.0000 0.2104
La2 0.0249 0.5124 0.7633
Ho1 0.0000 0.0000 0.0000
Ho2 0.0000 0.5000 0.0000
Sc1 0.0000 0.0000 0.5000
```

Record 9
The following is a PBE calculation of crystalline La2Ho15Sc2 at its relaxed geometry, from Alexandria.

- Formation enthalpy at 0 K: 346 meV per atom

The structure in CIF format:
```
data_La2Ho15Sc2
_chemical_formula_sum 'La6 Ho45 Sc6'
_symmetry_space_group_name_H-M 'R -3 m'
_symmetry_Int_Tables_number 166
_symmetry_space_group_name_Hall '-R 3 2"'
_cell_length_a 11.0520
_cell_length_b 11.0520
_cell_length_c 17.5626
_cell_angle_alpha 90.00
_cell_angle_beta 90.00
_cell_angle_gamma 120.00
loop_
_atom_site_label
_atom_site_fract_x
_atom_site_fract_y
_atom_site_fract_z
La1 0.0000 0.0000 0.1163
Ho1 0.0000 0.3073 0.0000
Ho2 0.0000 0.5000 0.5000
Ho3 0.0182 0.5091 0.1369
Sc1 0.0000 0.0000 0.3244
```

Record 10
The following is a PBE calculation of crystalline La5HoSc at its relaxed geometry, from Alexandria.

- Formation enthalpy at 0 K: 139 meV per atom

The structure in CIF format:
```
data_La5HoSc
_chemical_formula_sum 'La5 Ho1 Sc1'
_symmetry_space_group_name_H-M 'P -1'
_symmetry_Int_Tables_number 2
_cell_length_a 6.3304
_cell_length_b 6.6412
_cell_length_c 6.7477
_cell_angle_alpha 60.66
_cell_angle_beta 78.24
_cell_angle_gamma 81.82
loop_
_symmetry_equiv_pos_as_xyz
'x,y,z'
'-x,-y,-z'
loop_
_atom_site_label
_atom_site_fract_x
_atom_site_fract_y
_atom_site_fract_z
La1 0.0000 0.0000 0.0000
La2 0.2683 0.9905 0.4248
La3 0.4836 0.3747 0.8212
Ho1 0.0000 0.5000 0.5000
Sc1 0.0000 0.5000 0.0000
```

Record 11
The following is a PBE calculation of crystalline LaHo7Sc3 at its relaxed geometry, from Alexandria.

- Formation enthalpy at 0 K: 232 meV per atom

The structure in CIF format:
```
data_LaHo7Sc3
_chemical_formula_sum 'La1 Ho7 Sc3'
_symmetry_space_group_name_H-M 'P 3 m 1'
_symmetry_Int_Tables_number 156
_cell_length_a 6.9562
_cell_length_b 6.9562
_cell_length_c 8.2558
_cell_angle_alpha 90.00
_cell_angle_beta 90.00
_cell_angle_gamma 120.00
loop_
_symmetry_equiv_pos_as_xyz
'x,y,z'
'-y,x-y,z'
'-x+y,-x,z'
'-y,-x,z'
'-x+y,y,z'
'x,x-y,z'
loop_
_atom_site_label
_atom_site_fract_x
_atom_site_fract_y
_atom_site_fract_z
La1 0.0000 0.0000 0.0000
Ho1 0.0024 0.5012 0.9865
Ho2 0.3316 0.1658 0.3417
Ho3 0.3333 0.6667 0.3315
Sc1 0.1688 0.3377 0.6612
```